Entry from Alexandria: Ba2Na2Al at its PBEsol-relaxed geometry (meta-GGA SCAN).

Cell: 11.291 11.291 11.291 Å, 158.10 158.10 31.17°
Element x y z (fractional)
Ba: 0.086 0.086 0.000
Ba: 0.914 0.914 0.000
Na: 0.250 0.750 0.500
Na: 0.750 0.250 0.500
Al: 0.500 0.500 0.000

Output
The value obtained for the density is 2.88 Mg/m³. The calculation puts the energy of formation from the pure elements at 0.18 eV/f.u.